Below is a relaxed structure of K5Tl2Cd4, with properties calculated at the GGA-PBE level.

It has space group C2/m (No. 12), with a = 13.271 Å, b = 6.947 Å, c = 11.241 Å, α = 90.00°, β = 125.04° and γ = 90.00°. Symmetry generates all atoms from K at (0.000, 0.000, 0.000), K at (0.201, 0.252, 0.646), Tl at (0.005, 0.500, 0.253), Cd at (0.006, 0.000, 0.301) and Cd at (0.245, 0.500, 0.026).

The value obtained for the formation energy is 0.0246 eV/atom. The value obtained for the total moment is 0.000 μB/atom. For the calculated total energy, the calculation gives -1.237 eV/atom. The calculation puts the density at 4.13 g cm⁻³.